[1]
Material: SiMoCl2
Method: DFT, PBE-GGA
State: optimized geometry

## Properties
- E (eV per atom) = -4.23
- polymorph energy (0 for the lowest one) (meV per atom) = 1099
- E_form (uncorrected) (eV per atom) = 0.761
- DOS(E_F) (states/eV/atom) = 1.00

Geometry as extended XYZ:
```
4
Lattice="0.000 3.189 3.189 3.189 0.000 3.189 3.189 3.189 0.000" Properties=species:S:1:pos:R:3 pbc="T T T"
Si 0.000 0.000 0.000
Mo 3.189 3.189 3.189
Cl 1.594 1.594 1.594
Cl 4.783 4.783 4.783
```


[2]
Material: PrDy3Ho6Er2
Method: DFT, PBE-GGA
State: optimized geometry

## Properties
- formation energy from the elements (meV/atom) = 19
- E (eV per atom) = -4.58
- DOS(E_F) (states/eV/atom) = 1.27

Geometry as extended XYZ:
```
12
Lattice="3.066 -5.305 0.000 3.066 5.305 0.000 -2.033 0.000 11.558" Properties=species:S:1:pos:R:3 pbc="T T T"
Pr 0.000 0.000 0.000
Dy 2.049 3.533 5.779
Dy 2.049 0.000 5.779
Dy 2.049 -3.533 5.779
Ho 1.032 1.773 2.903
Ho 0.011 0.000 8.657
Ho 1.032 -1.773 2.903
Ho 3.067 1.773 8.655
Ho 4.088 0.000 2.901
Ho 3.067 -1.773 8.655
Er 3.066 1.768 0.000
Er 3.066 -1.768 0.000
```


[3]
Material: Al5FeOs4
Method: DFT, PBE-GGA
State: optimized geometry

## Properties
- formation energy from the elements (meV/atom) = -360
- E (eV per atom) = -7.57
- DOS(E_F) (states/eV/atom) = 1.03

Geometry as extended XYZ:
```
10
Lattice="3.010 0.000 0.000 0.000 3.010 0.000 0.000 0.000 14.845" Properties=species:S:1:pos:R:3 pbc="T T T"
Al 0.000 0.000 0.000
Al 0.000 0.000 3.026
Al 0.000 0.000 6.023
Al 0.000 0.000 8.822
Al 0.000 0.000 11.819
Fe 1.505 1.505 7.422
Os 1.505 1.505 1.507
Os 1.505 1.505 4.552
Os 1.505 1.505 10.293
Os 1.505 1.505 13.338
```


[4]
Material: PrHoV
Method: DFT, PBE-GGA
State: optimized geometry

## Properties
- formation energy from the elements (meV/atom) = 417
- E (eV per atom) = -5.74
- DOS(E_F) (states/eV/atom) = 1.49

Geometry as extended XYZ:
```
6
Lattice="3.396 -2.829 0.000 3.396 2.829 0.000 -2.873 0.000 8.533" Properties=species:S:1:pos:R:3 pbc="T T T"
Pr -0.012 0.000 1.668
Pr 3.932 0.000 6.865
Ho 0.454 0.000 5.310
Ho 3.467 0.000 3.223
V 2.439 0.000 0.009
V 1.481 0.000 8.524
```


[5]
Material: Pm6Nd3Sm2Sc
Method: DFT, PBE-GGA
State: optimized geometry

## Properties
- formation energy from the elements (meV/atom) = 27
- E (eV per atom) = -4.85
- DOS(E_F) (states/eV/atom) = 1.48

Geometry as extended XYZ:
```
12
Lattice="3.140 -5.440 0.000 3.140 5.440 0.000 -2.100 0.000 11.829" Properties=species:S:1:pos:R:3 pbc="T T T"
Pm 1.030 1.792 2.900
Pm -0.024 0.000 8.922
Pm 1.030 -1.792 2.900
Pm 3.151 1.792 8.929
Pm 4.205 0.000 2.907
Pm 3.151 -1.792 8.929
Nd 2.090 3.628 5.915
Nd 2.090 0.000 5.915
Nd 2.090 -3.628 5.915
Sm 3.140 1.812 0.000
Sm 3.140 -1.812 0.000
Sc 0.000 0.000 0.000
```


[6]
Material: VAg2SbBr
Method: DFT, PBE-GGA
State: optimized geometry

## Properties
- E (eV per atom) = -3.38
- E_form (uncorrected) (eV per atom) = 0.747
- DOS(E_F) (states/eV/atom) = 0.58

Geometry as extended XYZ:
```
5
Lattice="5.135 0.000 0.000 0.000 5.135 0.000 0.000 0.000 4.882" Properties=species:S:1:pos:R:3 pbc="T T T"
V 0.000 0.000 0.000
Ag 0.000 2.567 2.441
Ag 2.567 0.000 2.441
Sb 2.567 2.567 0.000
Br 0.000 0.000 2.441
```


[7]
Material: TaMnP2Cl
Method: DFT, PBE-GGA
State: optimized geometry

## Properties
- E (eV per atom) = -6.44
- polymorph energy (0 for the lowest one) (meV per atom) = 0
- E_form (uncorrected) (eV per atom) = 0.294
- DOS(E_F) (states/eV/atom) = 0.37

Geometry as extended XYZ:
```
5
Lattice="4.858 0.000 0.000 0.000 4.858 0.000 0.000 0.000 4.782" Properties=species:S:1:pos:R:3 pbc="T T T"
Ta 0.000 0.000 0.000
Mn 2.429 2.429 2.391
P 0.000 2.429 0.000
P 2.429 0.000 0.000
Cl 0.000 0.000 2.391
```


[8]
Material: Ac2HgCl
Method: DFT, PBE-GGA
State: optimized geometry

## Properties
- E (eV per atom) = -3.52
- polymorph energy (0 for the lowest one) (meV per atom) = 0
- E_form (uncorrected) (eV per atom) = -0.932
- DOS(E_F) (states/eV/atom) = 0.92

Geometry as extended XYZ:
```
4
Lattice="2.338 1.350 7.159 -2.338 1.350 7.159 0.000 -2.700 7.159" Properties=species:S:1:pos:R:3 pbc="T T T"
Ac 0.000 0.000 5.301
Ac 0.000 0.000 16.177
Hg 0.000 0.000 0.000
Cl 0.000 0.000 10.739
```


Which value of E does entry 5 give?
-4.85 eV per atom